Entry 1:
First-principles (GGA-PBE) data for Er3B7Rh after structural relaxation, as listed in Alexandria via LeMat-Bulk.

Lattice parameters (Å, degrees): 8.001 8.001 9.313 90.00 90.00 154.93
Positions (direct):
Er  0.107  0.893  0.560
Er  0.107  0.893  0.940
Er  0.246  0.754  0.250
Er  0.754  0.246  0.750
Er  0.893  0.107  0.060
Er  0.893  0.107  0.440
B  0.273  0.727  0.533
B  0.273  0.727  0.967
B  0.367  0.633  0.651
B  0.367  0.633  0.849
B  0.455  0.545  0.250
B  0.480  0.520  0.595
B  0.480  0.520  0.905
B  0.520  0.480  0.095
B  0.520  0.480  0.405
B  0.545  0.455  0.750
B  0.633  0.367  0.151
B  0.633  0.367  0.349
B  0.727  0.273  0.033
B  0.727  0.273  0.467
Rh  0.053  0.947  0.250
Rh  0.947  0.053  0.750

V   11.5 A^3/atom
DFT total energy   -149.522 eV/cell
Formation energy from the elements   -0.6344 eV per atom
Mass density   8.9 g/cm³
SG   Cmcm
DOS(E_F)   0.135 states/eV/atom
Crystal system   orthorhombic



Entry 2:
First-principles (GGA-PBE) data for ErBRh2 after structural relaxation, as listed in Alexandria via LeMat-Bulk.

Lattice parameters (Å, degrees): 6.492 6.492 6.492 30.55 30.55 30.55
Positions (direct):
Er  0.000  0.000  0.000
B  0.500  0.500  0.500
Rh  0.219  0.219  0.219
Rh  0.781  0.781  0.781

V   15.7 A^3/atom
DFT total energy   -27.717 eV/cell
Formation energy from the elements   -0.4435 eV per atom
Mass density   10.2 g/cm³
SG   R-3m
DOS(E_F)   0.435 states/eV/atom
Crystal system   trigonal



Entry 3:
First-principles (GGA-PBE) data for ErB4Rh after structural relaxation, as listed in Alexandria via LeMat-Bulk.

Lattice parameters (Å, degrees): 5.941 11.516 3.550 90.00 90.00 90.00
Positions (direct):
Er  0.131  0.149  0.000
Er  0.369  0.649  0.000
Er  0.631  0.351  0.000
Er  0.869  0.851  0.000
B  0.022  0.693  0.500
B  0.113  0.547  0.500
B  0.135  0.969  0.500
B  0.209  0.813  0.500
B  0.291  0.313  0.500
B  0.365  0.469  0.500
B  0.387  0.047  0.500
B  0.478  0.193  0.500
B  0.522  0.807  0.500
B  0.613  0.953  0.500
B  0.635  0.531  0.500
B  0.709  0.687  0.500
B  0.791  0.187  0.500
B  0.865  0.031  0.500
B  0.887  0.453  0.500
B  0.978  0.307  0.500
Rh  0.142  0.405  0.000
Rh  0.358  0.905  0.000
Rh  0.642  0.095  0.000
Rh  0.858  0.595  0.000

V   10.1 A^3/atom
DFT total energy   -169.581 eV/cell
Formation energy from the elements   -0.6285 eV per atom
Mass density   8.6 g/cm³
SG   Pbam
DOS(E_F)   0.190 states/eV/atom
Crystal system   orthorhombic



Entry 4:
First-principles (GGA-PBE) data for Er2B2Rh5 after structural relaxation, as listed in Alexandria via LeMat-Bulk.

Lattice parameters (Å, degrees): 4.156 4.156 8.031 90.00 90.00 90.00
Positions (direct):
Er  0.000  0.000  0.000
Er  0.000  0.000  0.500
B  0.500  0.500  0.219
B  0.500  0.500  0.781
Rh  0.000  0.500  0.246
Rh  0.000  0.500  0.754
Rh  0.500  0.000  0.246
Rh  0.500  0.000  0.754
Rh  0.500  0.500  0.500

V   15.4 A^3/atom
DFT total energy   -65.680 eV/cell
Formation energy from the elements   -0.7158 eV per atom
Mass density   10.4 g/cm³
SG   P4/mmm
DOS(E_F)   0.685 states/eV/atom
Crystal system   tetragonal